Entry from the Alexandria database: MoOs2Se at its PBEsol-relaxed geometry (meta-GGA SCAN).

- Fermi-level density of states: 10.94 states/eV/cell
- Uncorrected energy: -49.24 eV/atom
- Spin magnetization: 0.00 μB per formula unit
- Uncorrected formation energy: 0.4452 eV per atom

Cell lengths 2.8385, 2.8385, 25.4467 Å; angles 90.00, 90.00, 120.00 degrees
With the nearest neighbours (Å) after each atom.
Space group R-3m (No. 166, hexagonal axes)
One atom of each set of equivalent atoms:
Mo 0.0000 0.0000 0.0000 (multiplicity 3)  6 Os 2.70, 6 Mo 2.84
Os 0.0000 0.0000 0.2490 (multiplicity 6)  3 Se 2.66, 3 Mo 2.70, 6 Os 2.84
Se 0.0000 0.0000 0.5000 (multiplicity 3)  6 Os 2.66, 6 Se 2.84